Entry 1:
DFT (GGA-PBE) results for a relaxed Nd2Ho4TmSc crystal.

```
data_Nd2Ho4TmSc
_chemical_formula_sum 'Nd2 Ho4 Tm1 Sc1'
_cell_length_a 5.0054
_cell_length_b 5.0002
_cell_length_c 11.1169
_cell_angle_alpha 63.26
_cell_angle_beta 90.00
_cell_angle_gamma 90.00
_symmetry_space_group_name_H-M 'P 1'
_symmetry_Int_Tables_number 1
loop_
_symmetry_equiv_pos_as_xyz
'x,y,z'
loop_
_atom_site_label
_atom_site_fract_x
_atom_site_fract_y
_atom_site_fract_z
Nd1 0.0000 0.0000 0.0000
Nd2 0.5000 0.0000 0.5000
Ho1 0.0000 0.7486 0.7535
Ho2 0.0000 0.2514 0.2465
Ho3 0.5000 0.7519 0.2459
Ho4 0.5000 0.2481 0.7541
Tm1 0.0000 0.5000 0.5000
Sc1 0.5000 0.5000 0.0000
```



Entry 2:
DFT (GGA-PBE) results for a relaxed NdHo2Tm4Sc crystal.

```
data_NdHo2Tm4Sc
_chemical_formula_sum 'Nd2 Ho4 Tm8 Sc2'
_cell_length_a 9.3359
_cell_length_b 9.3359
_cell_length_c 11.5471
_cell_angle_alpha 128.20
_cell_angle_beta 128.20
_cell_angle_gamma 88.80
_symmetry_space_group_name_H-M 'P 1'
_symmetry_Int_Tables_number 1
loop_
_symmetry_equiv_pos_as_xyz
'x,y,z'
loop_
_atom_site_label
_atom_site_fract_x
_atom_site_fract_y
_atom_site_fract_z
Nd1 0.0000 0.5000 0.0000
Nd2 0.0000 0.5000 0.5000
Ho1 0.5000 0.0000 0.0000
Ho2 0.5000 0.0000 0.5000
Ho3 0.0000 0.0000 0.5000
Ho4 0.5000 0.5000 0.0000
Tm1 0.2414 0.7605 0.0010
Tm2 0.7395 0.2587 0.4990
Tm3 0.2605 0.7413 0.5010
Tm4 0.7587 0.2395 0.9990
Tm5 0.7486 0.7506 0.9884
Tm6 0.7494 0.7514 0.5116
Tm7 0.2506 0.2486 0.4884
Tm8 0.2514 0.2494 0.0116
Sc1 0.5000 0.5000 0.5000
Sc2 0.0000 0.0000 0.0000
```



Entry 3:
DFT (GGA-PBE) results for a relaxed NdHoTm5Sc2 crystal.

```
data_NdHoTm5Sc2
_chemical_formula_sum 'Nd2 Ho2 Tm10 Sc4'
_cell_length_a 5.5445
_cell_length_b 11.0181
_cell_length_c 9.2358
_cell_angle_alpha 90.00
_cell_angle_beta 90.00
_cell_angle_gamma 104.57
_symmetry_space_group_name_H-M 'P 1'
_symmetry_Int_Tables_number 1
loop_
_symmetry_equiv_pos_as_xyz
'x,y,z'
loop_
_atom_site_label
_atom_site_fract_x
_atom_site_fract_y
_atom_site_fract_z
Nd1 0.8145 0.6289 0.5173
Nd2 0.1855 0.3711 0.0173
Ho1 0.5963 0.1927 0.9190
Ho2 0.4037 0.8073 0.4190
Tm1 0.3927 0.7854 0.0464
Tm2 0.7350 0.4701 0.8353
Tm3 0.4685 0.9371 0.7484
Tm4 0.3087 0.6173 0.7202
Tm5 0.9917 0.9834 0.5189
Tm6 0.6073 0.2146 0.5464
Tm7 0.2650 0.5299 0.3353
Tm8 0.5315 0.0629 0.2484
Tm9 0.6913 0.3827 0.2202
Tm10 0.0083 0.0166 0.0189
Sc1 0.8870 0.7741 0.8240
Sc2 0.1404 0.2808 0.6945
Sc3 0.1130 0.2259 0.3240
Sc4 0.8596 0.7192 0.1945
```



Entry 4:
DFT (GGA-PBE) results for a relaxed NdHo6Tm2Sc3 crystal.

```
data_NdHo6Tm2Sc3
_chemical_formula_sum 'Nd1 Ho6 Tm2 Sc3'
_cell_length_a 6.0194
_cell_length_b 6.0194
_cell_length_c 11.4373
_cell_angle_alpha 95.02
_cell_angle_beta 95.02
_cell_angle_gamma 119.97
_symmetry_space_group_name_H-M 'P 1'
_symmetry_Int_Tables_number 1
loop_
_symmetry_equiv_pos_as_xyz
'x,y,z'
loop_
_atom_site_label
_atom_site_fract_x
_atom_site_fract_y
_atom_site_fract_z
Nd1 0.0000 0.0000 0.0000
Ho1 0.9133 0.5794 0.7407
Ho2 0.7528 0.7528 0.2593
Ho3 0.0867 0.4206 0.2593
Ho4 0.5794 0.9133 0.7407
Ho5 0.2472 0.2472 0.7407
Ho6 0.4206 0.0867 0.2593
Tm1 0.3334 0.6666 0.0000
Tm2 0.6666 0.3334 0.0000
Sc1 0.1670 0.8330 0.5000
Sc2 0.8330 0.1670 0.5000
Sc3 0.5000 0.5000 0.5000
```



Energy of formation list, top to bottom, in eV per atom: 0.035, 0.448, 0.173, 0.045